Here is crystalline LiBeAg3 at its relaxed geometry from the Alexandria database. Energies are from PBE.

The calculation puts the raw total energy at -2.6614 eV/atom. As for the density of states at the Fermi level: 0.326 states/eV per atom.

The structure belongs to space group Pm-3m (No. 221); the cell edges are 4.473, 4.473 and 4.473 Å and the angles 90.00°, 90.00° and 90.00°. The asymmetric unit holds Li at (0.000, 0.000, 0.000), Be at (0.500, 0.500, 0.500) and Ag at (0.000, 0.500, 0.500).

---

Here is crystalline Ti2RuSe at its relaxed geometry from the Alexandria database. Energies are from PBE.

The calculation puts the raw total energy at -7.3752 eV/atom. The formation energy without anion corrections is -92 kJ/mol of formula units. As for the density of states at the Fermi level: 0.867 states/eV per atom.

The structure belongs to space group I-42d (No. 122); the cell edges are 6.865, 6.865 and 5.690 Å and the angles 90.00°, 90.00° and 90.00°. The asymmetric unit holds Ti at (0.243, 0.250, 0.125), Ru at (0.000, 0.000, 0.000) and Se at (0.000, 0.000, 0.500).

---

Here is crystalline YZrNi2N at its relaxed geometry from the Alexandria database. Energies are from PBE.

The calculation puts the raw total energy at -7.1867 eV/atom. The formation energy without anion corrections is -100 kJ/mol of formula units. As for the density of states at the Fermi level: 0.524 states/eV per atom.

The structure belongs to space group P4/mmm (No. 123); the cell edges are 4.158, 4.158 and 4.347 Å and the angles 90.00°, 90.00° and 90.00°. The asymmetric unit holds Y at (0.000, 0.000, 0.000), Zr at (0.500, 0.500, 0.000), Ni at (0.000, 0.500, 0.500) and N at (0.500, 0.500, 0.500).

---

- What is the raw total energy in the second record?
  -7.3752 eV/atom

---

- Number 1 is which compound?
  LiBeAg3

---

- Number 1 is which compound?
  LiBeAg3

---

- Among the records above, which one has the lowest raw total energy?
  Ti2RuSe